K4Tl5Te6: optimized geometry, GGA-PBE.

## Properties
For the calculated volume, the calculation gives 1186.2 Å³/cell. The raw formation energy is -0.56 eV/atom. The total energy is -0.107 hartree per atom. The value obtained for the magnetic moment is 0.00 μB/f.u.

Cell: 12.4790 12.4790 17.7288 Å, 90.00 90.00 154.55°
Fractional coordinates of all 30 atoms:
K 0.0208 0.9792 0.5000
K 0.0396 0.9604 0.7613
K 0.1510 0.8490 0.3069
K 0.1616 0.8384 0.9495
K 0.8384 0.1616 0.4495
K 0.8490 0.1510 0.8069
K 0.9604 0.0396 0.2613
K 0.9792 0.0208 0.0000
Tl 0.1732 0.8268 0.6289
Tl 0.3182 0.6818 0.2892
Tl 0.3275 0.6725 0.6212
Tl 0.3300 0.6700 0.9587
Tl 0.4654 0.5346 0.6602
Tl 0.5346 0.4654 0.1602
Tl 0.6700 0.3300 0.4587
Tl 0.6725 0.3275 0.1212
Tl 0.6818 0.3182 0.7892
Tl 0.8268 0.1732 0.1289
Te 0.0936 0.9064 0.1274
Te 0.2466 0.7534 0.4754
Te 0.2591 0.7409 0.7763
Te 0.4085 0.5915 0.1273
Te 0.4372 0.5628 0.4007
Te 0.4533 0.5467 0.8485
Te 0.5467 0.4533 0.3485
Te 0.5628 0.4372 0.9007
Te 0.5915 0.4085 0.6273
Te 0.7409 0.2591 0.2763
Te 0.7534 0.2466 0.9754
Te 0.9064 0.0936 0.6274

---

KTlTe2: optimized geometry, GGA-PBE.

## Properties
For the calculated volume, the calculation gives 145.6 Å³/cell. The raw formation energy is -0.47 eV/atom. The total energy is -0.107 hartree per atom. The value obtained for the magnetic moment is 0.00 μB/f.u.

Cell: 4.6476 4.6435 6.7471 Å, 90.00 90.06 90.00°
Fractional coordinates of all 4 atoms:
K 0.0000 0.0000 0.0000
Tl 0.0000 0.0000 0.5000
Te 0.4996 0.5000 0.2875
Te 0.5004 0.5000 0.7125

---

KTl4Te: optimized geometry, GGA-PBE.

## Properties
For the calculated volume, the calculation gives 206.2 Å³/cell. The raw formation energy is -0.12 eV/atom. The total energy is -0.088 hartree per atom. The value obtained for the magnetic moment is 0.00 μB/f.u.

Cell: 6.6314 6.6314 6.6314 Å, 60.00 60.00 60.00°
Fractional coordinates of all 6 atoms:
K 0.0000 0.0000 0.0000
Tl 0.3756 0.3756 0.3756
Tl 0.3756 0.3756 0.8733
Tl 0.3756 0.8733 0.3756
Tl 0.8733 0.3756 0.3756
Te 0.7500 0.7500 0.7500

---

KTl3Te: optimized geometry, GGA-PBE.

## Properties
For the calculated volume, the calculation gives 258.8 Å³/cell. The raw formation energy is 0.06 eV/atom. The total energy is -0.081 hartree per atom. The value obtained for the magnetic moment is 0.00 μB/f.u.

Cell: 6.3725 6.3725 6.3725 Å, 90.00 90.00 90.00°
Fractional coordinates of all 5 atoms:
K 0.0000 0.0000 0.0000
Tl 0.0000 0.5000 0.5000
Tl 0.5000 0.0000 0.5000
Tl 0.5000 0.5000 0.0000
Te 0.5000 0.5000 0.5000